TbDyAlIn | GGA-PBE | relaxed

Values from the calculation:
- DFT total energy: -4.3442 eV per atom
- Formation energy: -40.12 kJ per mole of atoms
- Offset from the most stable computed form: 0.010 eV per atom

a = 5.224 Å, b = 5.224 Å, c = 5.224 Å
α = 60.00°, β = 60.00°, γ = 60.00°
Atoms (fractional coordinates):
In  0.250  0.250  0.250
Tb  0.000  0.000  0.000
Al  0.750  0.750  0.750
Dy  0.500  0.500  0.500